Record 1
Pu4Br2N PBE optimized geometry; symmetry = I4/mmm; crystal system = tetragonal
1.0
-2.550 2.550 7.075
2.550 -2.550 7.075
2.550 2.550 -7.075
Pu Br N
4 2 1
Direct
0.000 0.500 0.500
0.162 0.162 0.000
0.500 0.000 0.500
0.838 0.838 0.000
0.378 0.378 0.000
0.622 0.622 0.000
0.000 0.000 0.000

Record 2
Ce2CuSi3Ni12 PBE optimized geometry; symmetry = R-3m; crystal system = trigonal
1.0
4.159 2.401 4.008
-4.159 2.401 4.008
0.000 -4.802 4.008
Ce Cu Si Ni
2 1 3 12
Direct
0.146 0.146 0.146
0.854 0.854 0.854
0.500 0.500 0.500
0.000 0.500 0.500
0.500 0.000 0.500
0.500 0.500 0.000
0.118 0.118 0.592
0.118 0.592 0.118
0.195 0.691 0.691
0.309 0.309 0.805
0.309 0.805 0.309
0.408 0.882 0.882
0.592 0.118 0.118
0.691 0.195 0.691
0.691 0.691 0.195
0.805 0.309 0.309
0.882 0.408 0.882
0.882 0.882 0.408

Record 3
CaBeBr PBE optimized geometry; symmetry = P-6m2; energy relative to the lowest polymorph listed for this composition = 166 meV per atom; crystal system = hexagonal
1.0
4.686 0.000 0.000
-2.343 4.058 0.000
0.000 0.000 3.610
Ca Be Br
1 1 1
Direct
0.000 0.000 0.000
0.667 0.333 0.500
0.333 0.667 0.500

Respective DFT total energy values: -10.37; -5.82; -2.45 eV per atom.
Respective energy relative to the elements, uncorrected values: -0.51; -0.18; 0.02 eV/atom.